# Mn2GaSe

An optimized crystal structure of Mn2GaSe (PBE-GGA, the Alexandria database).

Calculated values
electronic total energy	-5.9382	eV/atom
M_tot	0.273	μB/atom
N(E_F)	3.375	states/eV per cell
space group	No. 225
distance to the lowest polymorph of the same formula	0.0	meV per atom

Cell: 4.179 4.179 4.179 Å, 60.00 60.00 60.00°
Positions (direct):
Mn1 0.250 0.250 0.250
Mn2 0.750 0.750 0.750
Ga1 0.000 0.000 0.000
Se1 0.500 0.500 0.500